# RbLa2P2 | Alexandria via LeMat-Bulk | GGA-PBE | optimized geometry
# Calculated total energy (eV per atom): -5.1815
# Offset from the most stable computed form (meV per atom): 0
# Energy relative to the elements (meV per atom): -853.1
data_RbLa2P2
_cell_length_a 8.499
_cell_length_b 8.499
_cell_length_c 3.858
_cell_angle_alpha 90.00
_cell_angle_beta 90.00
_cell_angle_gamma 90.00
_space_group_name_H-M_alt 'P 1'
_space_group_IT_number 1
loop_
_space_group_symop_operation_xyz
'x,y,z'
loop_
_atom_site_label
_atom_site_type_symbol
_atom_site_fract_x
_atom_site_fract_y
_atom_site_fract_z
_atom_site_occupancy
P1 P 0.349 0.849 0.000 1
P2 P 0.849 0.651 0.000 1
P3 P 0.651 0.151 0.000 1
P4 P 0.151 0.349 0.000 1
Rb1 Rb 0.000 0.000 0.000 1
Rb2 Rb 0.500 0.500 0.000 1
La1 La 0.142 0.642 0.500 1
La2 La 0.642 0.858 0.500 1
La3 La 0.858 0.358 0.500 1
La4 La 0.358 0.142 0.500 1